Computed, not measured: Cd2Ag after structural relaxation at the PBE level of DFT.

POSCAR file:
```
Cd2Ag
1.0
-0.296 -3.170 -4.274
4.511 2.634 1.056
1.550 -3.716 2.649
Ag Cd
2 4
Direct
0.667 0.333 0.000 Ag
0.333 0.667 0.000 Ag
0.000 0.000 0.000 Cd
0.339 0.000 0.500 Cd
0.000 0.339 0.500 Cd
0.661 0.661 0.500 Cd
```

Summary:
ΔE to the lowest computed polymorph = 0.010 eV/atom
Formation energy = -56 meV per atom
Total DFT energy (no corrections) = -1.594 eV per atom